Record 1
# V6Re5Si (PBE-GGA, relaxed)
data_V6Re5Si
_chemical_formula_sum 'V12 Re10 Si2'
_space_group_name_H-M_alt 'I m m m'
_space_group_IT_number 71
_space_group_name_Hall '-I 2 2'
_cell_length_a 4.273
_cell_length_b 6.084
_cell_length_c 12.795
_cell_angle_alpha 90.00
_cell_angle_beta 90.00
_cell_angle_gamma 90.00
loop_
_atom_site_label
_atom_site_type_symbol
_atom_site_fract_x
_atom_site_fract_y
_atom_site_fract_z
V1 V 0.000 0.247 0.000
V2 V 0.000 0.251 0.333
Re1 Re 0.000 0.000 0.168
Re2 Re 0.000 0.500 0.164
Re3 Re 0.000 0.500 0.500
Si1 Si 0.000 0.000 0.500
# total DFT energy (no corrections): -10.54 eV/atom
# density of states at the Fermi level: 8.5 states/eV/f.u.
# energy relative to the elements, uncorrected: -4.0 eV/f.u.

***

Record 2
# AlSi3Pb (PBE-GGA, relaxed)
data_AlSi3Pb
_chemical_formula_sum 'Al1 Si3 Pb1'
_space_group_name_H-M_alt 'P m -3 m'
_space_group_IT_number 221
_space_group_name_Hall '-P 4 2 3'
_cell_length_a 4.838
_cell_length_b 4.838
_cell_length_c 4.838
_cell_angle_alpha 90.00
_cell_angle_beta 90.00
_cell_angle_gamma 90.00
loop_
_atom_site_label
_atom_site_type_symbol
_atom_site_fract_x
_atom_site_fract_y
_atom_site_fract_z
Al1 Al 0.000 0.000 0.000
Si1 Si 0.000 0.000 0.500
Pb1 Pb 0.500 0.500 0.500
# polymorph energy (0 for the lowest one): 0.0 meV per atom
# total DFT energy (no corrections): -3.99 eV/atom
# density of states at the Fermi level: 2.6 states/eV/f.u.
# energy relative to the elements, uncorrected: 3.8 eV/f.u.

***

Record 3
# TmCd2Ag2 (PBE-GGA, relaxed)
data_TmCd2Ag2
_chemical_formula_sum 'Tm1 Cd2 Ag2'
_space_group_name_H-M_alt 'P -1'
_space_group_IT_number 2
_cell_length_a 4.897
_cell_length_b 4.964
_cell_length_c 5.659
_cell_angle_alpha 88.98
_cell_angle_beta 64.87
_cell_angle_gamma 60.45
loop_
_space_group_symop_operation_xyz
'x,y,z'
'-x,-y,-z'
loop_
_atom_site_label
_atom_site_type_symbol
_atom_site_fract_x
_atom_site_fract_y
_atom_site_fract_z
Tm1 Tm 0.000 0.000 0.000
Cd1 Cd 0.433 0.780 0.359
Ag1 Ag 0.193 0.399 0.222
# polymorph energy (0 for the lowest one): 0.0 meV per atom
# ΔH_f (0 K): -0.2057 eV/atom
# total DFT energy (no corrections): -2.61 eV/atom
# density of states at the Fermi level: 1.4 states/eV/f.u.

***

Record 4
# Dy3ZrOs8 (PBE-GGA, relaxed)
data_Dy3ZrOs8
_chemical_formula_sum 'Dy6 Zr2 Os16'
_space_group_name_H-M_alt 'C 1 m 1'
_space_group_IT_number 8
_cell_length_a 9.223
_cell_length_b 5.326
_cell_length_c 9.236
_cell_angle_alpha 90.00
_cell_angle_beta 109.38
_cell_angle_gamma 90.00
loop_
_space_group_symop_operation_xyz
'x,y,z'
'x,-y,z'
'x+1/2,y+1/2,z'
'x+1/2,-y+1/2,z'
loop_
_atom_site_label
_atom_site_type_symbol
_atom_site_fract_x
_atom_site_fract_y
_atom_site_fract_z
Dy1 Dy 0.000 0.000 0.000
Dy2 Dy 0.000 0.500 0.499
Dy3 Dy 0.375 0.000 0.124
Zr1 Zr 0.375 0.500 0.625
Os1 Os 0.186 0.252 0.808
Os2 Os 0.188 0.000 0.564
Os3 Os 0.188 0.500 0.063
Os4 Os 0.189 0.251 0.316
Os5 Os 0.438 0.000 0.808
Os6 Os 0.438 0.500 0.316
# ΔH_f (0 K): -0.2785 eV/atom
# total DFT energy (no corrections): -9.63 eV/atom
# density of states at the Fermi level: 12.3 states/eV/f.u.

***

Record 5
# La6Cu2IrBr3 (PBE-GGA, relaxed)
data_La6Cu2IrBr3
_chemical_formula_sum 'La12 Cu4 Ir2 Br6'
_space_group_name_H-M_alt 'C 1 2/m 1'
_space_group_IT_number 12
_cell_length_a 19.721
_cell_length_b 4.270
_cell_length_c 9.182
_cell_angle_alpha 90.00
_cell_angle_beta 110.13
_cell_angle_gamma 90.00
loop_
_space_group_symop_operation_xyz
'x,y,z'
'-x,-y,-z'
'-x,y,-z'
'x,-y,z'
'x+1/2,y+1/2,z'
'-x+1/2,-y+1/2,-z'
'-x+1/2,y+1/2,-z'
'x+1/2,-y+1/2,z'
loop_
_atom_site_label
_atom_site_type_symbol
_atom_site_fract_x
_atom_site_fract_y
_atom_site_fract_z
La1 La 0.009 0.000 0.219
La2 La 0.152 0.500 0.103
La3 La 0.175 0.500 0.569
Cu1 Cu 0.169 0.000 0.342
Ir1 Ir 0.000 0.500 0.000
Br1 Br 0.000 0.500 0.500
Br2 Br 0.169 0.000 0.834
# total DFT energy (no corrections): -5.18 eV/atom
# density of states at the Fermi level: 13.6 states/eV/f.u.
# energy relative to the elements, uncorrected: -10.5 eV/f.u.

***

Record 6
# TaSn3B (PBE-GGA, relaxed)
data_TaSn3B
_chemical_formula_sum 'Ta1 Sn3 B1'
_space_group_name_H-M_alt 'P m -3 m'
_space_group_IT_number 221
_space_group_name_Hall '-P 4 2 3'
_cell_length_a 5.376
_cell_length_b 5.376
_cell_length_c 5.376
_cell_angle_alpha 90.00
_cell_angle_beta 90.00
_cell_angle_gamma 90.00
loop_
_atom_site_label
_atom_site_type_symbol
_atom_site_fract_x
_atom_site_fract_y
_atom_site_fract_z
Ta1 Ta 0.000 0.000 0.000
Sn1 Sn 0.000 0.000 0.500
B1 B 0.500 0.500 0.500
# ΔH_f (0 K): 1.3224 eV/atom
# total DFT energy (no corrections): -4.79 eV/atom
# density of states at the Fermi level: 5.3 states/eV/f.u.

***

Record 7
# LiSmAgGe (PBE-GGA, relaxed)
data_LiSmAgGe
_chemical_formula_sum 'Li4 Sm4 Ag4 Ge4'
_space_group_name_H-M_alt 'F -4 3 m'
_space_group_IT_number 216
_space_group_name_Hall 'F -4 2 3'
_cell_length_a 6.946
_cell_length_b 6.946
_cell_length_c 6.946
_cell_angle_alpha 90.00
_cell_angle_beta 90.00
_cell_angle_gamma 90.00
loop_
_atom_site_label
_atom_site_type_symbol
_atom_site_fract_x
_atom_site_fract_y
_atom_site_fract_z
Li1 Li 0.000 0.000 0.000
Sm1 Sm 0.000 0.000 0.500
Ag1 Ag 0.250 0.250 0.750
Ge1 Ge 0.250 0.250 0.250
# ΔH_f (0 K): -0.4356 eV/atom
# total DFT energy (no corrections): -3.96 eV/atom
# density of states at the Fermi level: 1.7 states/eV/f.u.

***

Record 8
# KSrNF2 (PBE-GGA, relaxed)
data_KSrNF2
_chemical_formula_sum 'K1 Sr1 N1 F2'
_space_group_name_H-M_alt 'P 4/m m m'
_space_group_IT_number 123
_space_group_name_Hall '-P 4 2'
_cell_length_a 4.671
_cell_length_b 4.671
_cell_length_c 4.880
_cell_angle_alpha 90.00
_cell_angle_beta 90.00
_cell_angle_gamma 90.00
loop_
_atom_site_label
_atom_site_type_symbol
_atom_site_fract_x
_atom_site_fract_y
_atom_site_fract_z
K1 K 0.000 0.000 0.000
Sr1 Sr 0.500 0.500 0.500
N1 N 0.000 0.000 0.500
F1 F 0.000 0.500 0.000
# polymorph energy (0 for the lowest one): 550.8 meV per atom
# total DFT energy (no corrections): -4.11 eV/atom
# density of states at the Fermi level: 3.7 states/eV/f.u.
# energy relative to the elements, uncorrected: -5.7 eV/f.u.

***

Record 9
# CaPdW (PBE-GGA, relaxed)
data_CaPdW
_chemical_formula_sum 'Ca2 Pd2 W2'
_space_group_name_H-M_alt 'P 1 m 1'
_space_group_IT_number 6
_cell_length_a 4.992
_cell_length_b 3.369
_cell_length_c 7.607
_cell_angle_alpha 90.00
_cell_angle_beta 108.79
_cell_angle_gamma 90.00
loop_
_space_group_symop_operation_xyz
'x,y,z'
'x,-y,z'
loop_
_atom_site_label
_atom_site_type_symbol
_atom_site_fract_x
_atom_site_fract_y
_atom_site_fract_z
Ca1 Ca 0.000 0.000 0.000
Ca2 Ca 0.336 0.000 0.666
Pd1 Pd 0.172 0.500 0.336
Pd2 Pd 0.512 0.500 0.025
W1 W 0.669 0.000 0.334
W2 W 0.794 0.500 0.580
# polymorph energy (0 for the lowest one): 170.3 meV per atom
# ΔH_f (0 K): 0.1543 eV/atom
# total DFT energy (no corrections): -6.56 eV/atom
# density of states at the Fermi level: 1.6 states/eV/f.u.

***

Record 10
# CsBiTeI2 (PBE-GGA, relaxed)
data_CsBiTeI2
_chemical_formula_sum 'Cs1 Bi1 Te1 I2'
_space_group_name_H-M_alt 'P 4/m m m'
_space_group_IT_number 123
_space_group_name_Hall '-P 4 2'
_cell_length_a 6.353
_cell_length_b 6.353
_cell_length_c 5.978
_cell_angle_alpha 90.00
_cell_angle_beta 90.00
_cell_angle_gamma 90.00
loop_
_atom_site_label
_atom_site_type_symbol
_atom_site_fract_x
_atom_site_fract_y
_atom_site_fract_z
Cs1 Cs 0.000 0.000 0.000
Bi1 Bi 0.500 0.500 0.500
Te1 Te 0.500 0.500 0.000
I1 I 0.000 0.500 0.500
# polymorph energy (0 for the lowest one): 0.0 meV per atom
# total DFT energy (no corrections): -2.83 eV/atom
# density of states at the Fermi level: 1.5 states/eV/f.u.
# energy relative to the elements, uncorrected: -3.2 eV/f.u.

***

Record 11
# SmGd2Zr (PBE-GGA, relaxed)
data_SmGd2Zr
_chemical_formula_sum 'Sm4 Gd8 Zr4'
_space_group_name_H-M_alt 'F m -3 m'
_space_group_IT_number 225
_space_group_name_Hall '-F 4 2 3'
_cell_length_a 7.848
_cell_length_b 7.848
_cell_length_c 7.848
_cell_angle_alpha 90.00
_cell_angle_beta 90.00
_cell_angle_gamma 90.00
loop_
_atom_site_label
_atom_site_type_symbol
_atom_site_fract_x
_atom_site_fract_y
_atom_site_fract_z
Sm1 Sm 0.000 0.000 0.000
Gd1 Gd 0.250 0.250 0.250
Zr1 Zr 0.000 0.000 0.500
# polymorph energy (0 for the lowest one): 116.2 meV per atom
# ΔH_f (0 K): 0.1955 eV/atom
# total DFT energy (no corrections): -10.16 eV/atom
# density of states at the Fermi level: 5.5 states/eV/f.u.

***

Record 12
# Cs2Na17Tl3 (PBE-GGA, relaxed)
data_Cs2Na17Tl3
_chemical_formula_sum 'Cs6 Na51 Tl9'
_space_group_name_H-M_alt 'R -3 m'
_space_group_IT_number 166
_space_group_name_Hall '-R 3 2"'
_cell_length_a 13.0534
_cell_length_b 13.0534
_cell_length_c 18.7020
_cell_angle_alpha 90.00
_cell_angle_beta 90.00
_cell_angle_gamma 120.00
loop_
_atom_site_label
_atom_site_type_symbol
_atom_site_fract_x
_atom_site_fract_y
_atom_site_fract_z
Cs1 Cs 0.0000 0.0000 0.1623
Na1 Na 0.0000 0.0000 0.4006
Na2 Na 0.0000 0.2610 0.5000
Na3 Na 0.0000 0.5000 0.0000
Na4 Na 0.0059 0.5029 0.6707
Tl1 Tl 0.0000 0.5000 0.5000
# ΔH_f (0 K): 0.0397 eV/atom
# total DFT energy (no corrections): -1.38 eV/atom
# density of states at the Fermi level: 11.6 states/eV/f.u.